Computed, not measured: a geometry-optimized Tl6S2Br2Cl structure at the PBE level of DFT.

Computed properties:
- N(E_F): 6.501 states/eV/f.u.
- DFT total energy: -0.113 hartree per atom
- SG: C2/m (12)
- Spin magnetization: 0.0 μB per cell
- Uncorrected formation energy: -0.557 eV/atom

Cell: 7.8351 7.8351 8.1837 Å, 98.68 98.68 122.94°
With the nearest neighbours (Å) after each atom.
Positions (direct):
Tl  0.0690  0.4337  0.7800  2 S 2.92-2.99
Tl  0.2290  0.2290  0.2160  1 Cl 3.08, 2 S 3.14, 2 Br 3.37
Tl  0.4337  0.0690  0.7800  2 S 2.92-2.99
Tl  0.5663  0.9310  0.2200  2 S 2.92-2.99
Tl  0.7710  0.7710  0.7840  1 Cl 3.08, 2 S 3.14, 2 Br 3.37
Tl  0.9310  0.5663  0.2200  2 S 2.92-2.99
S  0.1737  0.8263  0.0000  6 Tl 2.92-3.14
S  0.8263  0.1737  0.0000  6 Tl 2.92-3.14
Br  0.3409  0.6591  0.5000  6 Tl 3.29-3.39
Br  0.6591  0.3409  0.5000  6 Tl 3.29-3.39
Cl  0.5000  0.5000  0.0000  6 Tl 3.08-3.30